(1)
Compound: Ta2RhSe
Source: the Alexandria database
Functional: GGA-PBE
Structure: relaxed

a b c (Å): 2.978 2.978 8.220
angles (deg): 90.00 90.00 105.48
Atoms (fractional coordinates):
Ta1 0.000 0.000 0.000
Ta2 0.500 0.500 0.269
Rh1 0.500 0.500 0.772
Se1 0.000 0.000 0.501

Output
raw formation energy: -112 meV per atom
size of the total moment: 0.0 μB per cell

***

(2)
Compound: Ta2RhSe
Source: the Alexandria database
Functional: GGA-PBE
Structure: relaxed

a b c (Å): 2.964 4.061 5.701
angles (deg): 90.00 103.10 90.00
Atoms (fractional coordinates):
Ta1 0.053 0.000 0.248
Ta2 0.947 0.000 0.752
Rh1 0.500 0.500 0.000
Se1 0.500 0.500 0.500

Output
raw formation energy: -153 meV per atom
size of the total moment: 0.0 μB per cell

***

(3)
Compound: TaRhSe
Source: the Alexandria database
Functional: GGA-PBE
Structure: relaxed

a b c (Å): 3.440 3.440 5.698
angles (deg): 90.00 90.00 120.00
Atoms (fractional coordinates):
Ta1 0.000 0.000 0.000
Rh1 0.667 0.333 0.271
Se1 0.333 0.667 0.679

Output
raw formation energy: -286 meV per atom
size of the total moment: 0.0 μB per cell

***

(4)
Compound: TaRhSe
Source: the Alexandria database
Functional: GGA-PBE
Structure: relaxed

a b c (Å): 4.327 4.327 4.327
angles (deg): 60.00 60.00 60.00
Atoms (fractional coordinates):
Ta1 0.000 0.000 0.000
Rh1 0.250 0.250 0.250
Se1 0.500 0.500 0.500

Output
raw formation energy: 84 meV per atom
size of the total moment: 0.0 μB per cell

***

(5)
Compound: TaRh2Se
Source: the Alexandria database
Functional: GGA-PBE
Structure: relaxed

a b c (Å): 5.029 5.029 4.408
angles (deg): 92.76 92.76 35.63
Atoms (fractional coordinates):
Ta1 0.000 0.000 0.000
Rh1 0.278 0.278 0.781
Rh2 0.546 0.546 0.529
Se1 0.765 0.765 0.275

Output
raw formation energy: -195 meV per atom
size of the total moment: 0.0 μB per cell

***

(6)
Compound: Ta2RhSe
Source: the Alexandria database
Functional: GGA-PBE
Structure: relaxed

a b c (Å): 4.673 4.673 3.028
angles (deg): 90.00 90.00 90.00
Atoms (fractional coordinates):
Ta1 0.000 0.500 0.000
Ta2 0.500 0.000 0.000
Rh1 0.000 0.000 0.500
Se1 0.500 0.500 0.500

Output
raw formation energy: -143 meV per atom
size of the total moment: 0.0 μB per cell

***

(7)
Compound: TaRh2Se
Source: the Alexandria database
Functional: GGA-PBE
Structure: relaxed

a b c (Å): 3.043 3.043 6.830
angles (deg): 90.00 90.00 90.00
Atoms (fractional coordinates):
Ta1 0.000 0.000 0.000
Rh1 0.000 0.000 0.523
Rh2 0.500 0.500 0.239
Se1 0.500 0.500 0.743

Output
raw formation energy: -139 meV per atom
size of the total moment: 0.0 μB per cell

***

(8)
Compound: TaRhSe4
Source: the Alexandria database
Functional: GGA-PBE
Structure: relaxed

a b c (Å): 5.437 5.437 5.437
angles (deg): 60.00 60.00 60.00
Atoms (fractional coordinates):
Ta1 0.000 0.000 0.000
Rh1 0.750 0.750 0.750
Se1 0.375 0.375 0.375
Se2 0.375 0.375 0.875
Se3 0.375 0.875 0.375
Se4 0.875 0.375 0.375

Output
raw formation energy: 1076 meV per atom
size of the total moment: 0.0 μB per cell

***

(9)
Compound: Ta2RhSe
Source: the Alexandria database
Functional: GGA-PBE
Structure: relaxed

a b c (Å): 3.011 3.985 5.574
angles (deg): 90.00 90.00 90.00
Atoms (fractional coordinates):
Ta1 0.000 0.000 0.246
Ta2 0.000 0.000 0.754
Rh1 0.500 0.500 0.000
Se1 0.500 0.500 0.500

Output
raw formation energy: -109 meV per atom
size of the total moment: 0.0 μB per cell

***

(10)
Compound: TaRhSe
Source: the Alexandria database
Functional: GGA-PBE
Structure: relaxed

a b c (Å): 4.390 4.390 3.004
angles (deg): 90.00 90.00 120.00
Atoms (fractional coordinates):
Ta1 0.000 0.000 0.000
Rh1 0.333 0.667 0.500
Se1 0.667 0.333 0.000

Output
raw formation energy: -137 meV per atom
size of the total moment: 0.0 μB per cell

***

(11)
Compound: TaRhSe
Source: the Alexandria database
Functional: GGA-PBE
Structure: relaxed

a b c (Å): 4.333 4.333 4.333
angles (deg): 60.00 60.00 60.00
Atoms (fractional coordinates):
Ta1 0.000 0.000 0.000
Rh1 0.750 0.750 0.750
Se1 0.250 0.250 0.250

Output
raw formation energy: -94 meV per atom
size of the total moment: 0.0 μB per cell

***

(12)
Compound: TaRh2Se
Source: the Alexandria database
Functional: GGA-PBE
Structure: relaxed

a b c (Å): 4.908 4.908 4.908
angles (deg): 132.68 132.68 69.16
Atoms (fractional coordinates):
Ta1 0.000 0.000 0.000
Rh1 0.250 0.750 0.500
Rh2 0.750 0.250 0.500
Se1 0.500 0.500 0.000

Output
raw formation energy: -166 meV per atom
size of the total moment: 0.0 μB per cell